Tb4Er | GGA-PBE | relaxed

a b c (Å): 3.544 3.544 14.559
angles (deg): 83.05 83.05 59.98
Atoms (fractional coordinates):
Tb  0.200  0.200  0.400
Tb  0.800  0.800  0.600
Tb  0.601  0.601  0.199
Tb  0.399  0.399  0.801
Er  0.000  0.000  0.000

## Properties
density of states at the Fermi level = 6.47 states/eV/cell
offset from the most stable computed form = 0 meV per atom
energy relative to the elements = 0.016 eV per atom
total moment = 0.000 μB per formula unit
E = -23.0 eV per cell